--- w ---
Compound: Tb5Ho2Tm4
Source: Alexandria via LeMat-Bulk
Functional: PBE
Structure: relaxed

abc: 7.7617 7.7617 8.3318
angles: 110.51 110.51 49.55
Fractional positions:
Tb (0.0000, 0.0000, 0.0000)
Tb (0.1728, 0.6546, 0.6213)
Tb (0.3454, 0.8272, 0.3787)
Tb (0.6546, 0.1728, 0.6213)
Tb (0.8272, 0.3454, 0.3787)
Ho (0.1503, 0.1503, 0.7624)
Ho (0.8497, 0.8497, 0.2376)
Tm (0.2536, 0.2536, 0.2361)
Tm (0.3928, 0.3928, 0.0088)
Tm (0.6072, 0.6072, 0.9912)
Tm (0.7464, 0.7464, 0.7639)

DOS at the Fermi energy = 14.6 states/eV/f.u.
Magnetic moment = 0.000 μB/atom

--- x ---
Compound: Tb5Ho2Tm4
Source: Alexandria via LeMat-Bulk
Functional: PBE
Structure: relaxed

abc: 12.4872 12.4872 12.4872
angles: 164.04 138.17 45.04
Fractional positions:
Tb (0.0000, 0.0000, 0.0000)
Tb (0.0545, 0.3559, 0.6986)
Tb (0.3428, 0.6441, 0.6986)
Tb (0.6572, 0.3559, 0.3014)
Tb (0.9455, 0.6441, 0.3014)
Ho (0.2687, 0.7687, 0.5000)
Ho (0.7313, 0.2313, 0.5000)
Tm (0.3128, 0.5000, 0.8128)
Tm (0.4031, 0.9031, 0.5000)
Tm (0.5969, 0.0969, 0.5000)
Tm (0.6872, 0.5000, 0.1872)

DOS at the Fermi energy = 16.5 states/eV/f.u.
Magnetic moment = 0.000 μB/atom

It comes down to x, which is 0.012 eV/atom more stable than the next structure.

--- w ---
Compound: TbHo3Tm6
Source: Alexandria via LeMat-Bulk
Functional: PBE
Structure: relaxed

abc: 11.3571 11.3571 6.2834
angles: 90.00 90.00 130.75
Fractional positions:
Tb (0.1624, 0.8376, 0.5000)
Tb (0.8376, 0.1624, 0.0000)
Ho (0.0421, 0.2965, 0.4741)
Ho (0.2965, 0.0421, 0.9741)
Ho (0.4199, 0.5801, 0.5812)
Ho (0.5801, 0.4199, 0.0812)
Ho (0.7035, 0.9579, 0.4741)
Ho (0.9579, 0.7035, 0.9741)
Tm (0.0148, 0.9852, 0.3044)
Tm (0.1046, 0.5422, 0.8157)
Tm (0.2574, 0.3785, 0.0539)
Tm (0.3018, 0.6982, 0.2719)
Tm (0.3785, 0.2574, 0.5539)
Tm (0.4578, 0.8954, 0.8157)
Tm (0.5422, 0.1046, 0.3157)
Tm (0.6215, 0.7426, 0.0539)
Tm (0.6982, 0.3018, 0.7719)
Tm (0.7426, 0.6215, 0.5539)
Tm (0.8954, 0.4578, 0.3157)
Tm (0.9852, 0.0148, 0.8044)

DOS at the Fermi energy = 14.8 states/eV/f.u.
Magnetic moment = 0.000 μB/atom

--- x ---
Compound: TbHo3Tm6
Source: Alexandria via LeMat-Bulk
Functional: PBE
Structure: relaxed

abc: 10.8069 10.8069 6.0980
angles: 90.00 90.00 119.70
Fractional positions:
Tb (0.2090, 0.7910, 0.5000)
Tb (0.7910, 0.2090, 0.0000)
Ho (0.0637, 0.2804, 0.3002)
Ho (0.2804, 0.0637, 0.8002)
Ho (0.3911, 0.6089, 0.4141)
Ho (0.6089, 0.3911, 0.9141)
Ho (0.7196, 0.9363, 0.3002)
Ho (0.9363, 0.7196, 0.8002)
Tm (0.0366, 0.4579, 0.7059)
Tm (0.0484, 0.9516, 0.2642)
Tm (0.2860, 0.7140, 0.9848)
Tm (0.2881, 0.3827, 0.8729)
Tm (0.3827, 0.2881, 0.3729)
Tm (0.4579, 0.0366, 0.2059)
Tm (0.5421, 0.9634, 0.7059)
Tm (0.6173, 0.7119, 0.8729)
Tm (0.7119, 0.6173, 0.3729)
Tm (0.7140, 0.2860, 0.4848)
Tm (0.9516, 0.0484, 0.7642)
Tm (0.9634, 0.5421, 0.2059)

DOS at the Fermi energy = 14.1 states/eV/f.u.
Magnetic moment = 0.000 μB/atom

It comes down to w, which is 0.024 eV/atom more stable than the next structure.

--- w ---
Compound: Tb4Ho3Tm
Source: Alexandria via LeMat-Bulk
Functional: PBE
Structure: relaxed

abc: 11.1952 7.2284 6.2505
angles: 90.00 90.00 90.00
Fractional positions:
Tb (0.0000, 0.1259, 0.0000)
Tb (0.0000, 0.8738, 0.4989)
Tb (0.2494, 0.8737, 0.8330)
Tb (0.2506, 0.1263, 0.3330)
Tb (0.5000, 0.1262, 0.9989)
Tb (0.5000, 0.8741, 0.5000)
Tb (0.7494, 0.1263, 0.3330)
Tb (0.7506, 0.8737, 0.8330)
Ho (0.0000, 0.3761, 0.4993)
Ho (0.2499, 0.3763, 0.8321)
Ho (0.2501, 0.6237, 0.3321)
Ho (0.5000, 0.6239, 0.9993)
Ho (0.7501, 0.3763, 0.8321)
Ho (0.7499, 0.6237, 0.3321)
Tm (0.0000, 0.6237, 0.9996)
Tm (0.5000, 0.3763, 0.4996)

DOS at the Fermi energy = 12.9 states/eV/f.u.
Magnetic moment = 0.000 μB/atom

--- x ---
Compound: Tb4Ho3Tm
Source: Alexandria via LeMat-Bulk
Functional: PBE
Structure: relaxed

abc: 13.2031 13.2031 3.5577
angles: 90.00 90.00 155.60
Fractional positions:
Tb (0.1026, 0.8974, 0.0000)
Tb (0.2228, 0.7772, 0.0000)
Tb (0.7772, 0.2228, 0.0000)
Tb (0.8974, 0.1026, 0.0000)
Ho (0.3466, 0.6534, 0.5000)
Ho (0.5000, 0.5000, 0.0000)
Ho (0.6534, 0.3466, 0.5000)
Tm (0.0000, 0.0000, 0.5000)

DOS at the Fermi energy = 11.2 states/eV/f.u.
Magnetic moment = 0.000 μB/atom

It comes down to w, which is 0.186 eV/atom more stable than the next structure.

--- w ---
Compound: TbHoTm6
Source: Alexandria via LeMat-Bulk
Functional: PBE
Structure: relaxed

abc: 6.6715 6.6715 6.5528
angles: 90.09 90.09 122.09
Fractional positions:
Tb (0.0000, 0.0000, 0.0000)
Ho (0.0000, 0.0000, 0.5000)
Tm (0.0595, 0.5801, 0.7498)
Tm (0.4199, 0.9405, 0.2502)
Tm (0.4948, 0.4948, 0.2501)
Tm (0.5052, 0.5052, 0.7499)
Tm (0.5801, 0.0595, 0.7498)
Tm (0.9405, 0.4199, 0.2502)

DOS at the Fermi energy = 14.4 states/eV/f.u.
Magnetic moment = 0.000 μB/atom

--- x ---
Compound: TbHoTm6
Source: Alexandria via LeMat-Bulk
Functional: PBE
Structure: relaxed

abc: 6.4666 6.6598 6.8186
angles: 119.13 103.21 90.06
Fractional positions:
Tb (0.0000, 0.0000, 0.0000)
Ho (0.5000, 0.0000, 0.0000)
Tm (0.2311, 0.5739, 0.4806)
Tm (0.2505, 0.5497, 0.0004)
Tm (0.2698, 0.0937, 0.5215)
Tm (0.7302, 0.9063, 0.4785)
Tm (0.7495, 0.4503, 0.9996)
Tm (0.7689, 0.4261, 0.5194)

DOS at the Fermi energy = 14.0 states/eV/f.u.
Magnetic moment = 0.000 μB/atom

It comes down to x, which is 0.013 eV/atom more stable than the next structure.

--- w ---
Compound: Tb4HoTm7
Source: Alexandria via LeMat-Bulk
Functional: PBE
Structure: relaxed

abc: 6.4461 6.7171 8.9136
angles: 84.98 76.80 81.30
Fractional positions:
Tb (0.1384, 0.3074, 0.2866)
Tb (0.3367, 0.8823, 0.6911)
Tb (0.6633, 0.1177, 0.3089)
Tb (0.8616, 0.6926, 0.7134)
Ho (0.5000, 0.5000, 0.0000)
Tm (0.0145, 0.2515, 0.9501)
Tm (0.1827, 0.7974, 0.3571)
Tm (0.3118, 0.3925, 0.6141)
Tm (0.5000, 0.0000, 0.0000)
Tm (0.6882, 0.6075, 0.3859)
Tm (0.8173, 0.2026, 0.6429)
Tm (0.9855, 0.7485, 0.0499)

DOS at the Fermi energy = 19.9 states/eV/f.u.
Magnetic moment = 0.000 μB/atom

--- x ---
Compound: Tb4HoTm7
Source: Alexandria via LeMat-Bulk
Functional: PBE
Structure: relaxed

abc: 6.6466 6.6466 12.5682
angles: 115.36 115.36 51.61
Fractional positions:
Tb (0.1385, 0.1385, 0.2758)
Tb (0.2640, 0.2640, 0.8243)
Tb (0.7360, 0.7360, 0.1757)
Tb (0.8615, 0.8615, 0.7242)
Ho (0.5000, 0.5000, 0.5000)
Tm (0.0000, 0.0000, 0.5000)
Tm (0.1333, 0.1333, 0.9980)
Tm (0.2878, 0.2878, 0.5757)
Tm (0.4357, 0.4357, 0.1826)
Tm (0.5643, 0.5643, 0.8174)
Tm (0.7122, 0.7122, 0.4243)
Tm (0.8667, 0.8667, 0.0020)

DOS at the Fermi energy = 20.2 states/eV/f.u.
Magnetic moment = 0.026 μB/atom

It comes down to w, which is 0.205 eV/atom more stable than the next structure.

--- w ---
Compound: Tb3Ho4Tm2
Source: Alexandria via LeMat-Bulk
Functional: PBE
Structure: relaxed

abc: 7.8753 7.8753 7.8716
angles: 107.28 107.28 36.82
Fractional positions:
Tb (0.0000, 0.0000, 0.0000)
Tb (0.1109, 0.1109, 0.6663)
Tb (0.8891, 0.8891, 0.3337)
Ho (0.2219, 0.2219, 0.3335)
Ho (0.3333, 0.3333, 0.9999)
Ho (0.6667, 0.6667, 0.0001)
Ho (0.7781, 0.7781, 0.6665)
Tm (0.4442, 0.4442, 0.6663)
Tm (0.5558, 0.5558, 0.3337)

DOS at the Fermi energy = 11.4 states/eV/f.u.
Magnetic moment = 0.000 μB/atom

--- x ---
Compound: Tb3Ho4Tm2
Source: Alexandria via LeMat-Bulk
Functional: PBE
Structure: relaxed

abc: 9.6347 9.6347 6.2278
angles: 93.67 93.67 83.86
Fractional positions:
Tb (0.0416, 0.9584, 0.7500)
Tb (0.1938, 0.6222, 0.4155)
Tb (0.3778, 0.8062, 0.0845)
Tb (0.6222, 0.1938, 0.9155)
Tb (0.8062, 0.3778, 0.5845)
Tb (0.9584, 0.0416, 0.2500)
Ho (0.1451, 0.2808, 0.6051)
Ho (0.2808, 0.1451, 0.1051)
Ho (0.3385, 0.4667, 0.9315)
Ho (0.4667, 0.3385, 0.4315)
Ho (0.5333, 0.6615, 0.5685)
Ho (0.6615, 0.5333, 0.0685)
Ho (0.7192, 0.8549, 0.8949)
Ho (0.8549, 0.7192, 0.3949)
Tm (0.0097, 0.6304, 0.8752)
Tm (0.3696, 0.9903, 0.6248)
Tm (0.6304, 0.0097, 0.3752)
Tm (0.9903, 0.3696, 0.1248)

DOS at the Fermi energy = 15.7 states/eV/f.u.
Magnetic moment = 0.000 μB/atom

It comes down to w, which is 0.140 eV/atom more stable than the next structure.

--- w ---
Compound: TbHo2Tm7
Source: Alexandria via LeMat-Bulk
Functional: PBE
Structure: relaxed

abc: 6.0518 6.0590 9.2435
angles: 102.61 109.03 99.61
Fractional positions:
Tb (0.0000, 0.0000, 0.0000)
Ho (0.4003, 0.5004, 0.3004)
Ho (0.5997, 0.4996, 0.6996)
Tm (0.0000, 0.5000, 0.5000)
Tm (0.1999, 0.9997, 0.4002)
Tm (0.2006, 0.5004, 0.9000)
Tm (0.3989, 0.9997, 0.7992)
Tm (0.6011, 0.0003, 0.2008)
Tm (0.7994, 0.4996, 0.1000)
Tm (0.8001, 0.0003, 0.5998)

DOS at the Fermi energy = 14.3 states/eV/f.u.
Magnetic moment = 0.000 μB/atom

--- x ---
Compound: TbHo2Tm7
Source: Alexandria via LeMat-Bulk
Functional: PBE
Structure: relaxed

abc: 9.4381 9.4381 5.1765
angles: 90.00 90.00 125.65
Fractional positions:
Tb (0.0000, 0.0000, 0.0000)
Ho (0.2991, 0.7009, 0.5000)
Ho (0.7009, 0.2991, 0.5000)
Tm (0.0681, 0.2882, 0.5000)
Tm (0.1980, 0.8020, 0.0000)
Tm (0.2882, 0.0681, 0.5000)
Tm (0.5000, 0.5000, 0.5000)
Tm (0.7118, 0.9319, 0.5000)
Tm (0.8020, 0.1980, 0.0000)
Tm (0.9319, 0.7118, 0.5000)

DOS at the Fermi energy = 13.3 states/eV/f.u.
Magnetic moment = 0.000 μB/atom

It comes down to w, which is 0.690 eV/atom more stable than the next structure.

--- w ---
Compound: TbHoTm5
Source: Alexandria via LeMat-Bulk
Functional: PBE
Structure: relaxed

abc: 6.6408 6.6408 12.0044
angles: 107.11 107.11 60.30
Fractional positions:
Tb (0.0269, 0.9731, 0.7500)
Tb (0.9731, 0.0269, 0.2500)
Ho (0.0000, 0.5000, 0.0000)
Ho (0.5000, 0.0000, 0.5000)
Tm (0.1394, 0.4200, 0.7520)
Tm (0.1939, 0.6501, 0.4999)
Tm (0.3499, 0.8061, 0.0001)
Tm (0.4148, 0.5852, 0.2500)
Tm (0.4200, 0.1394, 0.2520)
Tm (0.5800, 0.8606, 0.7480)
Tm (0.5852, 0.4148, 0.7500)
Tm (0.6501, 0.1939, 0.9999)
Tm (0.8061, 0.3499, 0.5001)
Tm (0.8606, 0.5800, 0.2480)

DOS at the Fermi energy = 8.5 states/eV/f.u.
Magnetic moment = 0.000 μB/atom

--- x ---
Compound: TbHoTm5
Source: Alexandria via LeMat-Bulk
Functional: PBE
Structure: relaxed

abc: 7.8280 7.8280 7.8280
angles: 137.16 114.10 81.86
Fractional positions:
Tb (0.0000, 0.0000, 0.0000)
Ho (0.5000, 0.5000, 0.0000)
Tm (0.1775, 0.5000, 0.6775)
Tm (0.2561, 0.2561, 0.0000)
Tm (0.5000, 0.0000, 0.5000)
Tm (0.7439, 0.7439, 0.0000)
Tm (0.8225, 0.5000, 0.3225)

DOS at the Fermi energy = 6.5 states/eV/f.u.
Magnetic moment = 0.000 μB/atom

It comes down to w, which is 0.955 eV/atom more stable than the next structure.

--- w ---
Compound: TbHo3Tm3
Source: Alexandria via LeMat-Bulk
Functional: PBE
Structure: relaxed

abc: 9.4688 9.4688 5.5735
angles: 90.00 90.00 120.00
Fractional positions:
Tb (0.3333, 0.6667, 0.2500)
Tb (0.6667, 0.3333, 0.7500)
Ho (0.0479, 0.2383, 0.2500)
Ho (0.1904, 0.9521, 0.2500)
Ho (0.2383, 0.1904, 0.7500)
Ho (0.7617, 0.8096, 0.2500)
Ho (0.8096, 0.0479, 0.7500)
Ho (0.9521, 0.7617, 0.7500)
Tm (0.0951, 0.4763, 0.7500)
Tm (0.3812, 0.9049, 0.7500)
Tm (0.4763, 0.3812, 0.2500)
Tm (0.5237, 0.6188, 0.7500)
Tm (0.6188, 0.0951, 0.2500)
Tm (0.9049, 0.5237, 0.2500)

DOS at the Fermi energy = 14.2 states/eV/f.u.
Magnetic moment = 0.002 μB/atom

--- x ---
Compound: TbHo3Tm3
Source: Alexandria via LeMat-Bulk
Functional: PBE
Structure: relaxed

abc: 14.4390 14.4390 14.4390
angles: 24.35 24.35 24.35
Fractional positions:
Tb (0.1667, 0.1667, 0.1667)
Tb (0.8333, 0.8333, 0.8333)
Ho (0.0359, 0.6987, 0.3671)
Ho (0.3013, 0.6329, 0.9641)
Ho (0.3671, 0.0359, 0.6987)
Ho (0.6329, 0.9641, 0.3013)
Ho (0.6987, 0.3671, 0.0359)
Ho (0.9641, 0.3013, 0.6329)
Tm (0.0992, 0.4333, 0.7673)
Tm (0.2327, 0.9008, 0.5667)
Tm (0.4333, 0.7673, 0.0992)
Tm (0.5667, 0.2327, 0.9008)
Tm (0.7673, 0.0992, 0.4333)
Tm (0.9008, 0.5667, 0.2327)

DOS at the Fermi energy = 9.9 states/eV/f.u.
Magnetic moment = 0.000 μB/atom

It comes down to w, which is 0.141 eV/atom more stable than the next structure.

--- w ---
Compound: TbHo7Tm3
Source: Alexandria via LeMat-Bulk
Functional: PBE
Structure: relaxed

abc: 6.8885 5.4657 9.7796
angles: 90.00 110.03 90.00
Fractional positions:
Tb (0.0000, 0.0000, 0.0000)
Ho (0.0000, 0.0000, 0.5000)
Ho (0.1469, 0.5000, 0.7909)
Ho (0.3230, 0.5000, 0.1419)
Ho (0.4208, 0.0000, 0.3313)
Ho (0.5792, 0.0000, 0.6687)
Ho (0.6770, 0.5000, 0.8581)
Ho (0.8531, 0.5000, 0.2091)
Tm (0.2777, 0.5000, 0.4979)
Tm (0.5000, 0.0000, 0.0000)
Tm (0.7223, 0.5000, 0.5021)

DOS at the Fermi energy = 17.5 states/eV/f.u.
Magnetic moment = 0.000 μB/atom

--- x ---
Compound: TbHo7Tm3
Source: Alexandria via LeMat-Bulk
Functional: PBE
Structure: relaxed

abc: 8.3191 8.3191 5.7176
angles: 110.05 110.05 83.29
Fractional positions:
Tb (0.0000, 0.0000, 0.0000)
Ho (0.0000, 0.0000, 0.5000)
Ho (0.0998, 0.5009, 0.8005)
Ho (0.2927, 0.2927, 0.2937)
Ho (0.4991, 0.9002, 0.1995)
Ho (0.5009, 0.0998, 0.8005)
Ho (0.7073, 0.7073, 0.7063)
Ho (0.9002, 0.4991, 0.1995)
Tm (0.2943, 0.7057, 0.5000)
Tm (0.5000, 0.5000, 0.0000)
Tm (0.7057, 0.2943, 0.5000)

DOS at the Fermi energy = 16.1 states/eV/f.u.
Magnetic moment = 0.030 μB/atom

It comes down to w, which is 0.125 eV/atom more stable than the next structure.